1.
The following is a PBE calculation of an optimized crystal structure of Pa2Si2Ge3, from Alexandria.

## Properties
energy relative to the elements, uncorrected = -0.103 eV/atom
space-group type = I2_13
spin magnetization = 0.0 μB per cell

```
Pa2Si2Ge3
1.0
-4.182 4.182 4.182
4.182 -4.182 4.182
4.182 4.182 -4.182
Pa Si Ge
4 4 6
Cartesian
2.098 2.084 -2.084
2.084 -2.084 2.098
2.084 2.084 2.084
-2.084 2.098 2.084
4.681 -0.499 0.499
0.499 4.681 -0.499
-0.499 0.499 4.681
3.683 3.683 3.683
4.182 -2.091 4.138
4.138 4.182 -2.091
4.182 2.091 0.044
2.091 0.044 4.182
0.044 4.182 2.091
-2.091 4.138 4.182
```

---

2.
The following is a PBE calculation of an optimized crystal structure of La2AlS4, from Alexandria.

## Properties
energy relative to the elements, uncorrected = -1.745 eV/atom
space-group type = P2_1/m
spin magnetization = 0.0 μB per cell

```
La2AlS4
1.0
6.735 0.000 0.000
0.000 6.517 0.000
-2.332 0.000 7.530
La Al S
4 2 8
Cartesian
1.397 1.629 0.439
0.364 1.629 4.223
4.039 4.888 3.307
3.005 4.888 7.091
-0.278 4.888 6.084
4.681 1.629 1.446
-1.719 0.034 5.616
-1.719 3.225 5.616
2.595 4.888 0.724
1.407 4.888 4.611
2.996 1.629 2.919
1.808 1.629 6.805
6.122 3.292 1.913
6.122 6.483 1.913
```

---

Density of states at the Fermi level list, top to bottom, in states/eV per cell: 13.1; 3.5